Here is a geometry-optimized SmHo2Te structure from Alexandria via LeMat-Bulk. Energies are from PBE.

POSCAR file:
```
SmHo2Te
1.0
3.8539 0.0000 0.0000
0.0000 3.8539 0.0000
0.0000 0.0000 7.9785
Sm Ho Te
1 2 1
Direct
0.0000 0.0000 0.0000 Sm
0.5000 0.5000 0.2787 Ho
0.5000 0.5000 0.7213 Ho
0.0000 0.0000 0.5000 Te
```

## Properties
As for the total magnetization: 0.00 μB per cell. The calculation puts the energy above the most stable polymorph in this dataset at 108.4 meV/atom. As for the total energy: -19.19 eV/cell. The density of states at the Fermi level comes out at 5.2 states/eV/cell. For the uncorrected formation energy, the calculation gives -52 kJ/mol of atoms.